# Mn4PbBr2, optimized geometry, DFT PBE-GGA
# calculated total energy = -5.53 eV/atom
# total moment = 0.597 μB per formula unit
# N(E_F) = 0.794 states/eV/atom
# SG = I4/mmm, No. 139
data_Mn4PbBr2
_symmetry_space_group_name_H-M 'P 1'
_symmetry_Int_Tables_number 1
_symmetry_space_group_name_Hall 'P 1'
_cell_length_a 5.443
_cell_length_b 5.443
_cell_length_c 7.853
_cell_angle_alpha 69.72
_cell_angle_beta 69.72
_cell_angle_gamma 90.00
loop_
_atom_site_label
_atom_site_type_symbol
_atom_site_fract_x
_atom_site_fract_y
_atom_site_fract_z
_atom_site_occupancy
Pb1 Pb 0.000 0.000 0.000 1
Mn1 Mn 0.802 0.802 0.395 1
Mn2 Mn 0.198 0.198 0.605 1
Mn3 Mn 0.000 0.500 0.000 1
Mn4 Mn 0.500 0.000 0.000 1
Br1 Br 0.626 0.626 0.748 1
Br2 Br 0.374 0.374 0.252 1


# Pm12Hg6Au, optimized geometry, DFT PBE-GGA
# calculated total energy = -3.51 eV/atom
# total moment = 0.000 μB per formula unit
# N(E_F) = 1.095 states/eV/atom
# SG = R-3, No. 148
data_Pm12Hg6Au
_symmetry_space_group_name_H-M 'P 1'
_symmetry_Int_Tables_number 1
_symmetry_space_group_name_Hall 'P 1'
_cell_length_a 8.221
_cell_length_b 8.221
_cell_length_c 8.221
_cell_angle_alpha 90.91
_cell_angle_beta 90.91
_cell_angle_gamma 90.91
loop_
_atom_site_label
_atom_site_type_symbol
_atom_site_fract_x
_atom_site_fract_y
_atom_site_fract_z
_atom_site_occupancy
Pm1 Pm 0.809 0.538 0.434 1
Pm2 Pm 0.434 0.809 0.538 1
Pm3 Pm 0.538 0.434 0.809 1
Pm4 Pm 0.191 0.462 0.566 1
Pm5 Pm 0.566 0.191 0.462 1
Pm6 Pm 0.462 0.566 0.191 1
Pm7 Pm 0.051 0.105 0.360 1
Pm8 Pm 0.895 0.640 0.949 1
Pm9 Pm 0.640 0.949 0.895 1
Pm10 Pm 0.949 0.895 0.640 1
Pm11 Pm 0.105 0.360 0.051 1
Pm12 Pm 0.360 0.051 0.105 1
Hg1 Hg 0.722 0.880 0.277 1
Hg2 Hg 0.723 0.278 0.120 1
Hg3 Hg 0.120 0.723 0.278 1
Hg4 Hg 0.278 0.120 0.723 1
Hg5 Hg 0.277 0.722 0.880 1
Hg6 Hg 0.880 0.277 0.722 1
Au1 Au 0.000 0.000 0.000 1


# PmAgHg2, optimized geometry, DFT PBE-GGA
# calculated total energy = -2.30 eV/atom
# total moment = 0.000 μB per formula unit
# N(E_F) = 0.914 states/eV/atom
# SG = P4/mmm, No. 123
data_PmAgHg2
_symmetry_space_group_name_H-M 'P 1'
_symmetry_Int_Tables_number 1
_symmetry_space_group_name_Hall 'P 1'
_cell_length_a 4.626
_cell_length_b 4.618
_cell_length_c 4.618
_cell_angle_alpha 90.00
_cell_angle_beta 90.00
_cell_angle_gamma 90.00
loop_
_atom_site_label
_atom_site_type_symbol
_atom_site_fract_x
_atom_site_fract_y
_atom_site_fract_z
_atom_site_occupancy
Hg1 Hg 0.000 0.000 0.500 1
Hg2 Hg 0.000 0.500 0.000 1
Ag1 Ag 0.500 0.000 0.000 1
Pm1 Pm 0.500 0.500 0.500 1


# CaTh2P3, optimized geometry, DFT PBE-GGA
# calculated total energy = -6.97 eV/atom
# total moment = 0.000 μB per formula unit
# N(E_F) = 0.260 states/eV/atom
# SG = Pnma, No. 62
data_CaTh2P3
_symmetry_space_group_name_H-M 'P 1'
_symmetry_Int_Tables_number 1
_symmetry_space_group_name_Hall 'P 1'
_cell_length_a 5.866
_cell_length_b 8.306
_cell_length_c 12.412
_cell_angle_alpha 90.00
_cell_angle_beta 90.00
_cell_angle_gamma 90.00
loop_
_atom_site_label
_atom_site_type_symbol
_atom_site_fract_x
_atom_site_fract_y
_atom_site_fract_z
_atom_site_occupancy
Ca1 Ca 0.250 0.877 0.082 1
Ca2 Ca 0.250 0.377 0.418 1
Ca3 Ca 0.750 0.623 0.582 1
Ca4 Ca 0.750 0.123 0.918 1
Th1 Th 0.250 0.875 0.752 1
Th2 Th 0.250 0.375 0.748 1
Th3 Th 0.250 0.873 0.417 1
Th4 Th 0.250 0.373 0.083 1
Th5 Th 0.750 0.627 0.917 1
Th6 Th 0.750 0.127 0.583 1
Th7 Th 0.750 0.625 0.252 1
Th8 Th 0.750 0.125 0.248 1
P1 P 0.250 0.631 0.586 1
P2 P 0.250 0.131 0.914 1
P3 P 0.250 0.623 0.916 1
P4 P 0.250 0.123 0.584 1
P5 P 0.250 0.624 0.250 1
P6 P 0.250 0.124 0.250 1
P7 P 0.750 0.876 0.750 1
P8 P 0.750 0.376 0.750 1
P9 P 0.750 0.877 0.416 1
P10 P 0.750 0.377 0.084 1
P11 P 0.750 0.869 0.086 1
P12 P 0.750 0.369 0.414 1


# OsPt2Cl, optimized geometry, DFT PBE-GGA
# calculated total energy = -5.65 eV/atom
# total moment = 0.000 μB per formula unit
# N(E_F) = 1.119 states/eV/atom
# SG = Imm2, No. 44
data_OsPt2Cl
_symmetry_space_group_name_H-M 'P 1'
_symmetry_Int_Tables_number 1
_symmetry_space_group_name_Hall 'P 1'
_cell_length_a 5.755
_cell_length_b 5.755
_cell_length_c 5.755
_cell_angle_alpha 152.47
_cell_angle_beta 129.98
_cell_angle_gamma 58.05
loop_
_atom_site_label
_atom_site_type_symbol
_atom_site_fract_x
_atom_site_fract_y
_atom_site_fract_z
_atom_site_occupancy
Cl1 Cl 0.451 0.451 0.000 1
Os1 Os 0.247 0.747 0.500 1
Pt1 Pt 0.028 0.028 0.000 1
Pt2 Pt 0.774 0.274 0.500 1


# UCoNi, optimized geometry, DFT PBE-GGA
# calculated total energy = -8.02 eV/atom
# total moment = 0.000 μB per formula unit
# N(E_F) = 1.517 states/eV/atom
# SG = P-1, No. 2
data_UCoNi
_symmetry_space_group_name_H-M 'P 1'
_symmetry_Int_Tables_number 1
_symmetry_space_group_name_Hall 'P 1'
_cell_length_a 2.755
_cell_length_b 6.480
_cell_length_c 5.296
_cell_angle_alpha 97.14
_cell_angle_beta 87.99
_cell_angle_gamma 67.29
loop_
_atom_site_label
_atom_site_type_symbol
_atom_site_fract_x
_atom_site_fract_y
_atom_site_fract_z
_atom_site_occupancy
Ni1 Ni 0.584 0.653 0.934 1
Ni2 Ni 0.416 0.347 0.066 1
U1 U 0.174 0.291 0.580 1
U2 U 0.826 0.709 0.420 1
Co1 Co 0.810 0.961 0.795 1
Co2 Co 0.190 0.039 0.205 1


# Pu2InGa3Pt4, optimized geometry, DFT PBE-GGA
# calculated total energy = -7.16 eV/atom
# total moment = 10.844 μB per formula unit
# N(E_F) = 2.708 states/eV/atom
# SG = P-4m2, No. 115
data_Pu2InGa3Pt4
_symmetry_space_group_name_H-M 'P 1'
_symmetry_Int_Tables_number 1
_symmetry_space_group_name_Hall 'P 1'
_cell_length_a 4.139
_cell_length_b 4.139
_cell_length_c 11.497
_cell_angle_alpha 90.00
_cell_angle_beta 90.00
_cell_angle_gamma 90.00
loop_
_atom_site_label
_atom_site_type_symbol
_atom_site_fract_x
_atom_site_fract_y
_atom_site_fract_z
_atom_site_occupancy
Pu1 Pu 0.500 0.000 0.244 1
Pu2 Pu 0.000 0.500 0.756 1
In1 In 0.500 0.500 0.500 1
Ga1 Ga 0.000 0.000 0.500 1
Ga2 Ga 0.500 0.000 0.871 1
Ga3 Ga 0.000 0.500 0.129 1
Pt1 Pt 0.500 0.500 0.000 1
Pt2 Pt 0.000 0.000 0.000 1
Pt3 Pt 0.500 0.000 0.656 1
Pt4 Pt 0.000 0.500 0.344 1


# As2PIr, optimized geometry, DFT PBE-GGA
# calculated total energy = -5.45 eV/atom
# total moment = 0.000 μB per formula unit
# N(E_F) = 0.526 states/eV/atom
# SG = Cmmm, No. 65
data_As2PIr
_symmetry_space_group_name_H-M 'P 1'
_symmetry_Int_Tables_number 1
_symmetry_space_group_name_Hall 'P 1'
_cell_length_a 2.833
_cell_length_b 2.833
_cell_length_c 9.773
_cell_angle_alpha 90.00
_cell_angle_beta 90.00
_cell_angle_gamma 120.07
loop_
_atom_site_label
_atom_site_type_symbol
_atom_site_fract_x
_atom_site_fract_y
_atom_site_fract_z
_atom_site_occupancy
As1 As 0.000 0.000 0.023 1
As2 As 0.000 0.000 0.477 1
Ir1 Ir 0.500 0.500 0.250 1
P1 P 0.500 0.500 0.750 1


# NaAlOsBr2, optimized geometry, DFT PBE-GGA
# calculated total energy = -3.45 eV/atom
# total moment = 2.454 μB per formula unit
# N(E_F) = 1.086 states/eV/atom
# SG = P4/mmm, No. 123
data_NaAlOsBr2
_symmetry_space_group_name_H-M 'P 1'
_symmetry_Int_Tables_number 1
_symmetry_space_group_name_Hall 'P 1'
_cell_length_a 5.468
_cell_length_b 4.817
_cell_length_c 5.468
_cell_angle_alpha 90.00
_cell_angle_beta 90.00
_cell_angle_gamma 90.00
loop_
_atom_site_label
_atom_site_type_symbol
_atom_site_fract_x
_atom_site_fract_y
_atom_site_fract_z
_atom_site_occupancy
Na1 Na 0.500 0.500 0.500 1
Os1 Os 0.000 0.500 0.000 1
Al1 Al 0.000 0.000 0.000 1
Br1 Br 0.000 0.000 0.500 1
Br2 Br 0.500 0.000 0.000 1